[1]
Entry from OQMD: an optimized crystal structure of InHgPd2 (PBE-GGA).

Raw total energy = -3.5338 eV per atom
Space-group type = No. 216
ρ = 12.1 g cm⁻³
Crystal system = cubic
Calculated volume = 72.51 Å³ per cell

a = 4.6806 Å, b = 4.6806 Å, c = 4.6806 Å
α = 60.00°, β = 60.00°, γ = 60.00°
Fractional coordinates of all 4 atoms:
Pd1 0.7500 0.7500 0.7500
Hg1 0.2500 0.2500 0.2500
Pd2 0.0000 0.0000 0.0000
In1 0.5000 0.5000 0.5000



[2]
Entry from OQMD: an optimized crystal structure of In2HgPd (PBE-GGA).

Raw total energy = -2.7485 eV per atom
Space-group type = No. 216
ρ = 10.2 g cm⁻³
Crystal system = cubic
Calculated volume = 87.21 Å³ per cell

a = 4.9776 Å, b = 4.9776 Å, c = 4.9776 Å
α = 60.00°, β = 60.00°, γ = 60.00°
Fractional coordinates of all 4 atoms:
In1 0.7500 0.7500 0.7500
Pd1 0.5000 0.5000 0.5000
Hg1 0.2500 0.2500 0.2500
In2 0.0000 0.0000 0.0000



[3]
Entry from OQMD: an optimized crystal structure of InHg3Te4Pd (PBE-GGA).

Raw total energy = -2.4302 eV per atom
Space-group type = No. 215
ρ = 7.2 g cm⁻³
Crystal system = cubic
Calculated volume = 308.92 Å³ per cell

a = 6.7601 Å, b = 6.7601 Å, c = 6.7601 Å
α = 90.00°, β = 90.00°, γ = 90.00°
Fractional coordinates of all 9 atoms:
In1 0.0000 0.0000 0.0000
Pd1 0.5000 0.5000 0.5000
Hg1 0.0000 0.5000 0.5000
Te1 0.2539 0.2539 0.2539
Hg2 0.5000 0.5000 0.0000
Te2 0.2539 0.7461 0.7461
Hg3 0.5000 0.0000 0.5000
Te3 0.7461 0.7461 0.2539
Te4 0.7461 0.2539 0.7461



[4]
Entry from OQMD: an optimized crystal structure of PrInHg (PBE-GGA).

Raw total energy = -2.8993 eV per atom
Space-group type = No. 216
ρ = 8.4 g cm⁻³
Crystal system = cubic
Calculated volume = 89.82 Å³ per cell

a = 5.0269 Å, b = 5.0269 Å, c = 5.0269 Å
α = 60.00°, β = 60.00°, γ = 60.00°
Fractional coordinates of all 3 atoms:
In1 0.2500 0.2500 0.2500
Pr1 0.0000 0.0000 0.0000
Hg1 0.5000 0.5000 0.5000